The following is a GGA-PBEsol calculation of a relaxed Ce3TiSb5 crystal, from Alexandria via LeMat-Bulk. Values from VASP.

Geometry as Quantum ESPRESSO input:
```
&SYSTEM
  ibrav = 0, nat = 18, ntyp = 3
/
ATOMIC_SPECIES
Ce 140.12 Ce.upf
Ti 47.87 Ti.upf
Sb 121.76 Sb.upf
CELL_PARAMETERS angstrom
6.137 0.000 0.000
0.000 9.176 0.000
0.000 -4.588 7.946
ATOMIC_POSITIONS angstrom
Ce 1.534 -1.765 3.057
Ce 4.603 -2.823 4.889
Ce 1.534 3.530 0.000
Ce 4.603 5.646 0.000
Ce 1.534 2.823 4.889
Ce 4.603 1.765 3.057
Ti 3.068 0.000 0.000
Ti 0.000 0.000 0.000
Sb 1.534 -3.400 5.890
Sb 4.603 -1.187 2.057
Sb 1.534 6.801 0.000
Sb 4.603 2.375 0.000
Sb 1.534 1.187 2.057
Sb 4.603 3.400 5.890
Sb 3.068 0.000 5.298
Sb 3.068 4.588 2.649
Sb 0.000 4.588 2.649
Sb 0.000 0.000 5.298
```

SG = P6_3/mcm, No. 193
Spin magnetization = 0.230 μB/atom
Formation energy (no corrections) = -21.03 kcal/mol of atoms

---

The following is a GGA-PBEsol calculation of a relaxed Ta2MnB2 crystal, from Alexandria via LeMat-Bulk. Values from VASP.

Geometry as Quantum ESPRESSO input:
```
&SYSTEM
  ibrav = 0, nat = 10, ntyp = 3
/
ATOMIC_SPECIES
B 10.81 B.upf
Mn 54.94 Mn.upf
Ta 180.95 Ta.upf
CELL_PARAMETERS angstrom
-2.868 1.052 -1.199
-2.397 -0.568 5.232
1.469 5.448 1.265
ATOMIC_POSITIONS angstrom
B 0.377 4.609 3.142
B -1.222 2.841 5.413
B -1.304 0.271 3.356
B 0.295 2.039 1.084
Mn 0.000 0.000 0.000
Mn -0.464 2.440 3.249
Ta -0.866 4.126 1.199
Ta -1.857 4.610 3.994
Ta -2.929 1.805 4.098
Ta -1.938 1.322 1.304
```

SG = P4/mbm, No. 127
Spin magnetization = 0.090 μB/atom
ΔH_f (0 K) = -0.7381 eV/atom

---

The following is a GGA-PBEsol calculation of a relaxed Zr2CdMo crystal, from Alexandria via LeMat-Bulk. Values from VASP.

Geometry as Quantum ESPRESSO input:
```
&SYSTEM
  ibrav = 0, nat = 4, ntyp = 3
/
ATOMIC_SPECIES
Cd 112.41 Cd.upf
Mo 95.94 Mo.upf
Zr 91.22 Zr.upf
CELL_PARAMETERS angstrom
-1.684 1.332 -1.958
-1.102 -1.501 -2.230
-9.466 -2.364 4.376
ATOMIC_POSITIONS angstrom
Cd -6.126 -1.266 0.094
Mo 0.000 0.000 0.000
Zr -3.015 -0.620 0.015
Zr -9.237 -1.913 0.173
```

SG = R-3m, No. 166
Spin magnetization = 0.000 μB/atom
ΔH_f (0 K) = 0.2282 eV/atom

---

The following is a GGA-PBEsol calculation of a relaxed LaSc2Te crystal, from Alexandria via LeMat-Bulk. Values from VASP.

Geometry as Quantum ESPRESSO input:
```
&SYSTEM
  ibrav = 0, nat = 4, ntyp = 3
/
ATOMIC_SPECIES
La 138.91 La.upf
Sc 44.96 Sc.upf
Te 127.60 Te.upf
CELL_PARAMETERS angstrom
-2.428 2.757 0.807
-2.508 -2.549 1.166
2.775 0.425 6.897
ATOMIC_POSITIONS angstrom
La -0.419 0.417 6.078
Sc 0.119 0.018 0.295
Sc -1.720 0.218 2.844
Te 1.248 0.191 3.102
```

SG = P4mm, No. 99
Spin magnetization = 0.000 μB/atom
Formation energy (no corrections) = -13.53 kcal/mol of atoms